[1]
Ru2PbO | Alexandria via LeMat-Bulk | PBE | optimized geometry; E_form (uncorrected) = 0.21 eV/atom; Fermi-level density of states = 0.89 states/eV per atom; polymorph energy (0 for the lowest one) = 0.0 meV/atom; total magnetic moment = 0.000 μB/atom
1.0
-3.371 3.222 -0.078
-3.191 -3.321 0.738
-2.634 0.785 6.885
Pb Ru O
2 4 2
Direct
0.750 0.250 0.500 Pb
0.000 0.000 0.000 Pb
0.286 0.625 0.250 Ru
0.375 0.536 0.750 Ru
0.464 0.125 0.250 Ru
0.875 0.714 0.750 Ru
0.500 0.500 0.000 O
0.250 0.750 0.500 O

[2]
TbCe5Rh4 | Alexandria via LeMat-Bulk | PBE | optimized geometry; Fermi-level density of states = 2.52 states/eV per atom; uncorrected energy = -6.8932 eV/atom; total magnetic moment = 0.344 μB/atom
1.0
4.155 0.000 0.000
0.000 7.579 -0.715
-2.077 -1.848 8.300
Ce Rh Tb
5 4 1
Direct
0.183 0.388 0.367 Ce
0.162 0.864 0.324 Ce
0.817 0.612 0.633 Ce
0.500 0.500 0.000 Ce
0.838 0.136 0.676 Ce
0.318 0.861 0.636 Rh
0.992 0.727 0.984 Rh
0.008 0.273 0.016 Rh
0.682 0.139 0.364 Rh
0.500 0.000 0.000 Tb

[3]
Hf2AlRe2 | Alexandria via LeMat-Bulk | PBE | optimized geometry; Fermi-level density of states = 0.96 states/eV per atom; uncorrected energy = -9.8015 eV/atom; total magnetic moment = 0.000 μB/atom
1.0
6.609 0.000 0.000
0.000 6.609 0.000
0.000 0.000 4.279
Hf Re Al
4 4 2
Direct
0.178 0.678 0.500 Hf
0.678 0.822 0.500 Hf
0.822 0.322 0.500 Hf
0.322 0.178 0.500 Hf
0.371 0.871 0.000 Re
0.871 0.629 0.000 Re
0.129 0.371 0.000 Re
0.629 0.129 0.000 Re
0.000 0.000 0.000 Al
0.500 0.500 0.000 Al

[4]
Y2RhBr | Alexandria via LeMat-Bulk | PBE | optimized geometry; E_form (uncorrected) = 0.07 eV/atom; Fermi-level density of states = 1.15 states/eV per atom; polymorph energy (0 for the lowest one) = 1131.8 meV/atom; total magnetic moment = 0.001 μB/atom
1.0
-3.413 -2.156 3.044
1.480 -2.173 4.319
-1.148 2.145 4.432
Br Y Rh
1 2 1
Direct
0.500 0.500 0.500 Br
0.000 0.000 0.000 Y
0.250 0.250 0.250 Y
0.750 0.750 0.750 Rh